1.
UZn20Fe2 (PBE, relaxed); ρ = 8.02 Mg/m³; ΔH_f (0 K) = -44 meV per atom; total energy = -2.358 eV per atom; symmetry = Fd-3m
1.0
0.000 7.002 7.002
7.002 0.000 7.002
7.002 7.002 0.000
Zn Fe U
40 4 2
Direct
0.417 0.681 0.951 Zn
0.864 0.864 0.136 Zn
0.951 0.417 0.951 Zn
0.951 0.681 0.417 Zn
0.569 0.299 0.833 Zn
0.864 0.136 0.136 Zn
0.417 0.951 0.681 Zn
0.386 0.114 0.386 Zn
0.864 0.136 0.864 Zn
0.833 0.569 0.299 Zn
0.569 0.833 0.299 Zn
0.114 0.386 0.114 Zn
0.114 0.114 0.386 Zn
0.951 0.417 0.681 Zn
0.569 0.299 0.299 Zn
0.299 0.299 0.833 Zn
0.386 0.114 0.114 Zn
0.681 0.417 0.951 Zn
0.299 0.833 0.569 Zn
0.299 0.569 0.299 Zn
0.625 0.125 0.625 Zn
0.951 0.681 0.951 Zn
0.833 0.299 0.299 Zn
0.951 0.951 0.681 Zn
0.833 0.299 0.569 Zn
0.417 0.951 0.951 Zn
0.136 0.136 0.864 Zn
0.625 0.625 0.125 Zn
0.136 0.864 0.136 Zn
0.951 0.951 0.417 Zn
0.114 0.386 0.386 Zn
0.299 0.299 0.569 Zn
0.386 0.386 0.114 Zn
0.136 0.864 0.864 Zn
0.681 0.951 0.417 Zn
0.125 0.625 0.625 Zn
0.681 0.951 0.951 Zn
0.299 0.833 0.299 Zn
0.299 0.569 0.833 Zn
0.625 0.625 0.625 Zn
0.125 0.625 0.125 Fe
0.125 0.125 0.125 Fe
0.125 0.125 0.625 Fe
0.625 0.125 0.125 Fe
0.750 0.750 0.750 U
0.500 0.500 0.500 U



2.
U2ZnFe2 (PBE, relaxed); ρ = 13.23 Mg/m³; ΔH_f (0 K) = 173 meV per atom; total energy = -7.922 eV per atom; symmetry = P6_3/mmc
1.0
-2.787 2.518 -0.817
-0.879 -3.404 1.554
1.134 5.058 11.719
U Zn Fe
4 2 4
Direct
0.667 0.333 0.939 U
0.333 0.667 0.061 U
0.667 0.333 0.561 U
0.333 0.667 0.439 U
0.000 0.000 0.750 Zn
0.000 0.000 0.250 Zn
0.333 0.667 0.842 Fe
0.667 0.333 0.158 Fe
0.667 0.333 0.342 Fe
0.333 0.667 0.658 Fe



3.
ZrUFe (PBE, relaxed); ρ = 10.71 Mg/m³; ΔH_f (0 K) = 382 meV per atom; total energy = -9.002 eV per atom; symmetry = F-43m; distance to the lowest polymorph of the same formula = 0.000 eV/atom
1.0
0.000 3.102 3.102
3.102 0.000 3.102
3.102 3.102 0.000
Fe U Zr
1 1 1
Direct
0.000 0.000 0.000 Fe
0.750 0.750 0.750 U
0.250 0.250 0.250 Zr



4.
ZrUFe (PBE, relaxed); ρ = 10.94 Mg/m³; ΔH_f (0 K) = 871 meV per atom; total energy = -8.513 eV per atom; symmetry = F-43m; distance to the lowest polymorph of the same formula = 0.488 eV/atom
1.0
0.000 3.080 3.080
3.080 0.000 3.080
3.080 3.080 0.000
U Zr Fe
1 1 1
Direct
0.000 0.000 0.000 U
0.750 0.750 0.750 Zr
0.250 0.250 0.250 Fe



5.
Fe3W (PBE, relaxed); ρ = 12.57 Mg/m³; ΔH_f (0 K) = 65 meV per atom; total energy = -9.407 eV per atom; symmetry = P6_3/mmc
1.0
-1.375 4.212 2.535
-2.000 -4.518 1.283
3.072 -0.602 2.667
Fe W
6 2
Direct
0.161 0.322 0.250 Fe
0.161 0.839 0.250 Fe
0.322 0.161 0.750 Fe
0.839 0.161 0.750 Fe
0.839 0.678 0.750 Fe
0.678 0.839 0.250 Fe
0.333 0.667 0.750 W
0.667 0.333 0.250 W



6.
Fe2W3 (PBE, relaxed); ρ = 15.21 Mg/m³; ΔH_f (0 K) = 513 meV per atom; total energy = -10.587 eV per atom; symmetry = R-3c
1.0
-6.250 0.000 0.000
3.125 -5.413 0.000
-3.125 1.804 4.281
Fe W
4 6
Direct
0.912 0.088 0.263 Fe
0.412 0.588 0.763 Fe
0.588 0.412 0.237 Fe
0.088 0.912 0.737 Fe
0.009 0.509 0.750 W
0.991 0.491 0.250 W
0.750 0.991 0.750 W
0.250 0.009 0.250 W
0.491 0.250 0.750 W
0.509 0.750 0.250 W



The highest ΔH_f (0 K) belongs to which entry?
number 4